(1)
The following is a DFT calculation (GGA-PBE) of an optimized crystal structure of HoMnAgRh.

Results
Electronic total energy (eV/atom): -6.209
ΔE_f (eV/f.u.): -0.886
Crystal system: cubic

Cell lengths 6.6692, 6.6692, 6.6692 Å; angles 90.00, 90.00, 90.00 degrees
Space group F-43m (No. 216)
One atom of each set of equivalent atoms:
Ho1 0.0000 0.0000 0.0000 x4
Mn1 0.0000 0.0000 0.5000 x4
Ag1 0.2500 0.2500 0.7500 x4
Rh1 0.2500 0.2500 0.2500 x4

=====

(2)
The following is a DFT calculation (GGA-PBE) of an optimized crystal structure of Pm7Dy2Tm3.

Results
Electronic total energy (eV/atom): -4.566
ΔE_f (eV/f.u.): 1.079
Crystal system: monoclinic
E above lowest polymorph (eV/atom): 0.020

Cell lengths 5.8257, 3.6098, 18.9170 Å; angles 90.00, 94.01, 90.00 degrees
Space group P2/m (No. 10)
One atom of each set of equivalent atoms:
Pm1 0.0000 0.0000 0.0000 x1
Pm2 0.1744 0.5000 0.1831 x2
Pm3 0.2585 0.5000 0.5348 x2
Pm4 0.3289 0.0000 0.8553 x2
Dy1 0.2957 0.5000 0.7021 x2
Tm1 0.2169 0.0000 0.3682 x2
Tm2 0.5000 0.5000 0.0000 x1

=====

(3)
The following is a DFT calculation (GGA-PBE) of an optimized crystal structure of PmIn4Pt2.

Results
Electronic total energy (eV/atom): -4.508
ΔE_f (eV/f.u.): -3.770
Crystal system: tetragonal
E above lowest polymorph (eV/atom): 0.107

Cell lengths 9.0534, 9.0534, 3.9052 Å; angles 90.00, 90.00, 90.00 degrees
Space group P4_2/mnm (No. 136)
One atom of each set of equivalent atoms:
Pm1 0.0000 0.0000 0.0000 x2
In1 0.0835 0.3184 0.5000 x8
Pt1 0.1902 0.8098 0.5000 x4

=====

(4)
The following is a DFT calculation (GGA-PBE) of an optimized crystal structure of Th3Fe7Co2.

Results
Electronic total energy (eV/atom): -8.049
ΔE_f (eV/f.u.): -0.882
Crystal system: trigonal

Cell lengths 5.0967, 5.0967, 25.1995 Å; angles 90.00, 90.00, 120.00 degrees
Space group R-3m (No. 166, hexagonal axes)
One atom of each set of equivalent atoms:
Th1 0.0000 0.0000 0.0000 x3
Th2 0.0000 0.0000 0.1404 x6
Fe1 0.0000 0.0000 0.5000 x3
Fe2 0.0025 0.5013 0.0811 x18
Co1 0.0000 0.0000 0.3312 x6

=====

(5)
The following is a DFT calculation (GGA-PBE) of an optimized crystal structure of InSbBr2.

Results
Electronic total energy (eV/atom): -2.718
Crystal system: orthorhombic
E_form (uncorrected) (meV per atom): -166
E above lowest polymorph (eV/atom): 0.183

Cell lengths 3.7042, 4.8798, 6.2906 Å; angles 90.00, 90.00, 90.00 degrees
Space group Pmmm (No. 47)
One atom of each set of equivalent atoms:
In1 0.0000 0.0000 0.0000 x1
Sb1 0.5000 0.0000 0.5000 x1
Br1 0.0000 0.5000 0.5000 x1
Br2 0.5000 0.5000 0.0000 x1

=====

(6)
The following is a DFT calculation (GGA-PBE) of an optimized crystal structure of Rb2LiAs2.

Results
Electronic total energy (eV/atom): -2.920
ΔE_f (eV/f.u.): -1.452
Crystal system: tetragonal
E above lowest polymorph (eV/atom): 0.048

Cell lengths 7.4305, 7.4305, 5.6227 Å; angles 90.00, 90.00, 90.00 degrees
Space group P4/mbm (No. 127)
One atom of each set of equivalent atoms:
Rb1 0.1744 0.3256 0.0000 x4
Li1 0.0000 0.0000 0.5000 x2
As1 0.1170 0.6170 0.5000 x4